Entry 1:
{"formula": "HfSe", "functional": "PBE-GGA", "state": "relaxed", "formation_energy_uncorrected_ev_per_fu": -2.0, "dft_energy_ev_per_fu": -15.48, "magmom_total_mub_per_fu": 0.00, "lattice": [[-0.3721, -2.8882, -2.0533], [2.0267, -1.8578, 2.2458], [-7.2004, -1.0688, 2.8080]], "species": ["Hf", "Hf", "Se", "Se"], "fractional_positions": [[0.2500, 0.3094, 0.6187], [0.7500, 0.6906, 0.3813], [0.2500, 0.1190, 0.2380], [0.7500, 0.8810, 0.7620]]}


Entry 2:
{"formula": "K2Tl5Te4", "functional": "PBE-GGA", "state": "relaxed", "formation_energy_uncorrected_ev_per_fu": -4.7, "dft_energy_ev_per_fu": -31.31, "magmom_total_mub_per_fu": 0.00, "lattice": [[-3.2150, 1.0731, 3.4361], [0.2765, -7.6661, 2.6528], [9.9315, 1.0379, 5.5788]], "species": ["K", "K", "Tl", "Tl", "Tl", "Tl", "Tl", "Te", "Te", "Te", "Te"], "fractional_positions": [[0.5857, 0.4154, 0.1714], [0.4143, 0.5846, 0.8286], [0.7844, 0.7874, 0.5688], [0.2156, 0.2126, 0.4312], [0.1580, 0.7386, 0.3161], [0.5000, 0.0000, 0.0000], [0.8420, 0.2614, 0.6839], [0.3419, 0.9921, 0.6838], [0.9830, 0.3007, 0.9659], [0.6581, 0.0079, 0.3162], [0.0170, 0.6993, 0.0341]]}


Entry 3:
{"formula": "Pa2InH", "functional": "PBE-GGA", "state": "relaxed", "dft_energy_ev_per_fu": -25.53, "magmom_total_mub_per_fu": 0.00, "lattice": [[-2.5388, 1.9945, 0.1526], [-1.6420, 0.7342, -2.6854], [-6.6690, -5.9097, 0.5170]], "species": ["H", "Pa", "Pa", "In"], "fractional_positions": [[0.0000, 0.0000, 0.0000], [0.2740, 0.2740, 0.1779], [0.7260, 0.7260, 0.8221], [0.5000, 0.5000, 0.5000]]}


Entry 4:
{"formula": "MgAu2Br", "functional": "PBE-GGA", "state": "relaxed", "formation_energy_uncorrected_ev_per_fu": -1.4, "dft_energy_ev_per_fu": -11.20, "magmom_total_mub_per_fu": 0.00, "lattice": [[-0.7001, 2.9331, 2.2302], [1.2963, -1.9289, 2.9438], [6.7134, 2.5699, -1.2723]], "species": ["Au", "Au", "Br", "Mg"], "fractional_positions": [[0.0000, 0.0000, 0.0476], [0.5000, 0.5000, 0.1077], [0.0000, 0.0000, 0.5839], [0.5000, 0.5000, 0.7608]]}


Entry 5:
{"formula": "LaTiOsRh2", "functional": "PBE-GGA", "state": "relaxed", "dft_energy_ev_per_fu": -29.52, "formation_enthalpy_0k_ev_per_atom": 1.847, "magmom_total_mub_per_fu": 0.00, "lattice": [[-1.7516, 1.0578, -4.1952], [-0.6225, -4.5405, -0.8849], [-4.4698, 0.2374, 1.9261]], "species": ["Rh", "Rh", "Ti", "Os", "La"], "fractional_positions": [[0.0000, 0.5000, 0.0000], [0.5000, 0.0000, 0.0000], [0.0000, 0.0000, 0.5000], [0.5000, 0.5000, 0.5000], [0.0000, 0.0000, 0.0000]]}


Entry 6:
{"formula": "Cd2Ag2OsO6", "functional": "PBE-GGA", "state": "relaxed", "formation_energy_uncorrected_ev_per_fu": -6.9, "dft_energy_ev_per_fu": -55.38, "magmom_total_mub_per_fu": 0.00, "lattice": [[-3.3869, -0.6819, 4.4985], [-2.5519, 0.0648, -5.0652], [3.9232, -5.1893, -0.0626]], "species": ["Cd", "Cd", "Ag", "Ag", "Os", "O", "O", "O", "O", "O", "O"], "fractional_positions": [[0.3443, 0.6557, 0.5000], [0.6557, 0.3443, 0.5000], [0.8043, 0.1957, 0.0000], [0.1957, 0.8043, 0.0000], [0.0000, 0.0000, 0.5000], [0.8703, 0.8703, 0.7221], [0.1111, 0.3968, 0.6797], [0.1297, 0.1297, 0.2779], [0.3968, 0.1111, 0.6797], [0.8889, 0.6032, 0.3203], [0.6032, 0.8889, 0.3203]]}